Density functional theory data (PBE) for crystalline Re3IrS at its relaxed geometry.

Cell and atoms, written as extended XYZ:
```
5
Lattice="-2.897 0.979 -3.030 -2.913 -2.469 1.987 -1.286 3.387 2.324" Properties=species:S:1:pos:R:3 pbc="T T T"
Re -1.456 -1.235 0.994
Re -0.643 1.694 1.162
Re -1.448 0.490 -1.515
S 0.000 0.000 0.000
Ir -3.548 0.949 0.641
```

Raw total energy ... -9.03 eV/atom
Raw formation energy ... 1.037 eV per atom
D(E_F) ... 6.0 states/eV/cell
Crystal system ... cubic
Volume ... 80 Å³ per cell
ΔE to the lowest computed polymorph ... 0.0000 eV/atom